1.
Here is a relaxed Cs2BeCdRe crystal from Alexandria via LeMat-Bulk. Energies are from PBEsol.

The structure in POSCAR format:
```
Cs2BeCdRe
1.0
6.361 0.000 0.000
0.000 6.361 0.000
0.000 0.000 4.671
Cs Be Cd Re
2 1 1 1
direct
0.000 0.500 0.000 Cs
0.500 0.000 0.000 Cs
0.000 0.000 0.000 Be
0.000 0.000 0.500 Cd
0.500 0.500 0.500 Re
```

Properties
E   -11.65 eV/cell
SG   P4/mmm

2.
Here is a relaxed Al3TePt crystal from Alexandria via LeMat-Bulk. Energies are from PBEsol.

The structure in POSCAR format:
```
Al3TePt
1.0
5.102 0.000 0.000
0.000 5.102 0.000
0.000 0.000 5.102
Al Te Pt
3 1 1
direct
0.000 0.000 0.500 Al
0.000 0.500 0.000 Al
0.500 0.000 0.000 Al
0.000 0.000 0.000 Te
0.500 0.500 0.500 Pt
```

Properties
SG   Pm-3m
Formation energy without anion corrections   1.27 eV/atom

3.
Here is a relaxed LiIn3 crystal from Alexandria via LeMat-Bulk. Energies are from PBEsol.

The structure in POSCAR format:
```
LiIn3
1.0
-1.694 5.078 2.684
1.694 -5.078 2.684
1.694 5.078 -2.684
Li In
1 3
direct
0.000 0.000 0.000 Li
0.404 0.660 0.743 In
0.514 0.014 0.500 In
0.917 0.660 0.257 In
```

Properties
E   -11.44 eV/cell
SG   Imm2

4.
Here is a relaxed LiCaBr3 crystal from Alexandria via LeMat-Bulk. Energies are from PBEsol.

The structure in POSCAR format:
```
LiCaBr3
1.0
4.968 0.000 0.000
0.000 4.968 0.000
0.000 0.000 4.968
Li Ca Br
1 1 3
direct
0.000 0.000 0.000 Li
0.500 0.500 0.500 Ca
0.000 0.000 0.500 Br
0.000 0.500 0.000 Br
0.500 0.000 0.000 Br
```

Properties
SG   Pm-3m
Formation energy without anion corrections   -1.51 eV/atom

5.
Here is a relaxed TiPPd2I crystal from Alexandria via LeMat-Bulk. Energies are from PBEsol.

The structure in POSCAR format:
```
TiPPd2I
1.0
4.809 0.000 0.000
0.000 4.809 0.000
0.000 0.000 5.062
Ti P Pd I
1 1 2 1
direct
0.000 0.000 0.000 Ti
0.500 0.500 0.000 P
0.000 0.500 0.500 Pd
0.500 0.000 0.500 Pd
0.000 0.000 0.500 I
```

Properties
SG   P4/mmm
Formation energy without anion corrections   1.00 eV/atom

6.
Here is a relaxed ScTc2Se crystal from Alexandria via LeMat-Bulk. Energies are from PBEsol.

The structure in POSCAR format:
```
ScTc2Se
1.0
-1.864 1.864 4.337
1.864 -1.864 4.337
1.864 1.864 -4.337
Sc Tc Se
1 2 1
direct
0.000 0.000 0.000 Sc
0.250 0.750 0.500 Tc
0.500 0.500 0.000 Tc
0.750 0.250 0.500 Se
```

Properties
SG   I-4m2
Formation energy without anion corrections   -0.01 eV/atom

7.
Here is a relaxed Ba2CdRu crystal from Alexandria via LeMat-Bulk. Energies are from PBEsol.

The structure in POSCAR format:
```
Ba2CdRu
1.0
0.000 3.745 3.745
3.745 0.000 3.745
3.745 3.745 0.000
Ba Cd Ru
2 1 1
direct
0.000 0.000 0.000 Ba
0.250 0.250 0.250 Ba
0.750 0.750 0.750 Cd
0.500 0.500 0.500 Ru
```

Properties
E   -13.88 eV/cell
SG   F-43m

8.
Here is a relaxed YCd2Br crystal from Alexandria via LeMat-Bulk. Energies are from PBEsol.

The structure in POSCAR format:
```
YCd2Br
1.0
3.504 0.000 0.000
0.000 5.221 0.000
0.000 0.000 5.535
Y Cd Br
1 2 1
direct
0.000 0.000 0.000 Y
0.500 0.000 0.487 Cd
0.500 0.500 0.268 Cd
0.000 0.500 0.812 Br
```

Properties
SG   Pmm2
Energy relative to the lowest polymorph listed for this composition   0.073 eV/f.u.
Formation energy without anion corrections   -0.45 eV/atom

Calculated values (Å³ per atom) of volume for the records, taken in order: 37.8, 26.6, 23.1, 24.5, 23.4, 15.1, 26.3, 25.3.